[1]
The following is a DFT calculation (PBE) of La2AlPt5 after structural relaxation. Values from VASP.

Structure (Quantum ESPRESSO input):
```
&SYSTEM
  ibrav = 0, nat = 8, ntyp = 3
/
ATOMIC_SPECIES
La 138.91 La.upf
Al 26.98 Al.upf
Pt 195.08 Pt.upf
CELL_PARAMETERS angstrom
6.154 0.064 0.091
-2.974 5.388 -0.091
-2.974 -1.918 5.035
ATOMIC_POSITIONS crystal
La 0.500 0.244 0.744
La 0.500 0.744 0.244
Al 0.000 0.973 0.973
Pt 0.450 0.724 0.724
Pt 0.000 0.724 0.273
Pt 0.000 0.273 0.724
Pt 0.550 0.273 0.273
Pt 0.000 0.267 0.267
```

Energy of formation from the pure elements in eV per atom: -0.97
Symmetry: No. 107



[2]
The following is a DFT calculation (PBE) of La2AlPt after structural relaxation. Values from VASP.

Structure (Quantum ESPRESSO input):
```
&SYSTEM
  ibrav = 0, nat = 4, ntyp = 3
/
ATOMIC_SPECIES
Al 26.98 Al.upf
Pt 195.08 Pt.upf
La 138.91 La.upf
CELL_PARAMETERS angstrom
5.075 0.000 0.000
2.538 4.395 0.000
2.538 1.465 4.144
ATOMIC_POSITIONS crystal
Al 0.500 0.500 0.500
Pt 0.250 0.250 0.250
La 0.000 0.000 0.000
La 0.750 0.750 0.750
```

Energy of formation from the pure elements in eV per atom: -0.47
Symmetry: No. 216



N(E_F) for every record listed, in sequence, given in states/eV/cell: 3.14, 5.52.